[1]
The following is a DFT calculation (PBE) of TbSbIr after structural relaxation.

Lattice parameters (Å, degrees): 7.4488 7.4488 4.0100 90.00 90.00 120.00
Space group P-62m (No. 189)
One atom of each set of equivalent atoms:
1 Tb 0.0000 0.5992 0.0000
2 Sb 0.0000 0.2646 0.5000
3 Ir 0.0000 0.0000 0.0000
4 Ir 0.3333 0.6667 0.5000

[2]
The following is a DFT calculation (PBE) of Sm2Gd2Cd3Co2 after structural relaxation.

## Properties
The formation energy comes out at -245 kJ/mol of formula units.

Lattice parameters (Å, degrees): 7.428 3.731 8.119 90.00 109.39 90.00
Space group P2/m (No. 10)
One atom of each set of equivalent atoms:
1 Sm 0.094 0.000 0.222
2 Gd 0.397 0.000 0.688
3 Cd 0.000 0.500 0.500
4 Cd 0.300 0.500 0.003
5 Co 0.353 0.500 0.396

[3]
The following is a DFT calculation (PBE) of Y3Mg3CdHg2 after structural relaxation.

Lattice parameters (Å, degrees): 7.8289 7.8289 4.2014 90.00 90.00 120.00
Space group P-62m (No. 189)
One atom of each set of equivalent atoms:
1 Y 0.0000 0.5851 0.0000
2 Mg 0.0000 0.2520 0.5000
3 Cd 0.0000 0.0000 0.0000
4 Hg 0.3333 0.6667 0.5000

| no. | raw total energy (eV per atom) |
| --- | --- |
| 1 | -6.737 |
| 2 | -4.241 |
| 3 | -3.215 |